Record 1
The following is a PBE calculation of crystalline YV2Ge2 at its relaxed geometry, from the Alexandria database.

Cell and atoms, written as POSCAR:
```
YV2Ge2
1.0
-0.997 2.431 6.717
5.408 -4.174 2.314
2.126 2.439 -0.567
V Ge Y
4 4 2
Direct
0.658 0.842 0.500
0.342 0.158 0.500
0.842 0.342 0.500
0.158 0.658 0.500
0.131 0.369 0.000
0.869 0.631 0.000
0.369 0.869 0.000
0.631 0.131 0.000
0.500 0.500 0.000
0.000 0.000 0.000
```

Its symmetry is P4/mbm, No. 127. The calculation puts the distance to the lowest polymorph of the same formula at 1.612 eV/f.u. The density of states at the Fermi level comes out at 0.796 states/eV/atom. The magnetization is 0.0 μB per cell. The calculation puts the formation energy from the elements at -0.2171 eV per atom. The total energy is -70.04 eV/cell.

=====

Record 2
The following is a PBE calculation of crystalline VAgS2 at its relaxed geometry, from the Alexandria database.

Cell and atoms, written as POSCAR:
```
VAgS2
1.0
1.552 -12.495 0.000
1.552 12.495 0.000
0.000 0.000 3.620
Ag V S
2 2 4
Direct
0.042 0.958 0.250
0.958 0.042 0.750
0.315 0.685 0.250
0.685 0.315 0.750
0.886 0.114 0.250
0.214 0.786 0.250
0.786 0.214 0.750
0.114 0.886 0.750
```

Its symmetry is Cmcm, No. 63. The density of states at the Fermi level comes out at 0.472 states/eV/atom. The magnetization is 2.5 μB per cell. The total energy is -43.77 eV/cell. The calculation puts the uncorrected formation energy at -0.415 eV per atom.